(1)
The following is a GGA-PBE calculation of a relaxed structure of Pu3Zn9Ru2, from Alexandria via LeMat-Bulk.

Lattice parameters (Å, degrees): 7.773 7.773 7.773 146.19 102.35 87.43
Fractional coordinates of all 14 atoms:
Pu  0.000  0.000  0.000
Pu  0.296  0.296  0.000
Pu  0.704  0.704  0.000
Zn  0.007  0.648  0.359
Zn  0.154  0.874  0.279
Zn  0.288  0.648  0.641
Zn  0.405  0.126  0.279
Zn  0.500  0.000  0.500
Zn  0.595  0.874  0.721
Zn  0.712  0.352  0.359
Zn  0.846  0.126  0.721
Zn  0.993  0.352  0.641
Ru  0.349  0.500  0.849
Ru  0.651  0.500  0.151

Values from the calculation:
E: -5.375 eV per atom
Space-group type: Immm
Spin magnetization: 15.75 μB per cell
Formation energy from the elements: -0.16 eV/atom

***

(2)
The following is a GGA-PBE calculation of a relaxed structure of AcTl2Pb2, from Alexandria via LeMat-Bulk.

Lattice parameters (Å, degrees): 13.115 13.115 4.938 90.00 90.00 157.91
Fractional coordinates of all 10 atoms:
Ac  0.143  0.857  0.750
Ac  0.857  0.143  0.250
Tl  0.043  0.957  0.250
Tl  0.454  0.546  0.250
Tl  0.546  0.454  0.750
Tl  0.957  0.043  0.750
Pb  0.250  0.750  0.250
Pb  0.351  0.649  0.750
Pb  0.649  0.351  0.250
Pb  0.750  0.250  0.750

Values from the calculation:
E: -3.492 eV per atom
Space-group type: Cmcm
Spin magnetization: 0.00 μB per cell
Formation energy from the elements: -0.24 eV/atom

***

(3)
The following is a GGA-PBE calculation of a relaxed structure of Ac2La8Tm, from Alexandria via LeMat-Bulk.

Lattice parameters (Å, degrees): 9.170 9.170 7.109 100.98 100.98 45.25
Fractional coordinates of all 11 atoms:
Ac  0.191  0.191  0.316
Ac  0.809  0.809  0.684
La  0.188  0.650  0.105
La  0.241  0.241  0.830
La  0.350  0.812  0.895
La  0.408  0.408  0.583
La  0.592  0.592  0.417
La  0.650  0.188  0.105
La  0.759  0.759  0.170
La  0.812  0.350  0.895
Tm  0.000  0.000  0.500

Values from the calculation:
E: -4.618 eV per atom
Space-group type: C2/m
Spin magnetization: 0.00 μB per cell
Formation energy from the elements: 0.12 eV/atom

***

(4)
The following is a GGA-PBE calculation of a relaxed structure of PuTi2Rh, from Alexandria via LeMat-Bulk.

Lattice parameters (Å, degrees): 4.587 4.587 4.587 60.00 60.00 60.00
Fractional coordinates of all 4 atoms:
Pu  0.000  0.000  0.000
Ti  0.250  0.250  0.250
Ti  0.750  0.750  0.750
Rh  0.500  0.500  0.500

Values from the calculation:
Distance to the lowest polymorph of the same formula: 207 meV/atom
E: -9.480 eV per atom
Space-group type: Fm-3m
Spin magnetization: 5.61 μB per cell
Formation energy from the elements: -0.11 eV/atom

***

(5)
The following is a GGA-PBE calculation of a relaxed structure of Tm2Ga4Ag3, from Alexandria via LeMat-Bulk.

Lattice parameters (Å, degrees): 8.388 8.388 7.672 90.00 90.00 139.52
Fractional coordinates of all 18 atoms:
Tm  0.103  0.897  0.905
Tm  0.397  0.603  0.405
Tm  0.603  0.397  0.595
Tm  0.897  0.103  0.095
Ga  0.171  0.829  0.523
Ga  0.185  0.315  0.750
Ga  0.315  0.185  0.250
Ga  0.329  0.671  0.023
Ga  0.671  0.329  0.977
Ga  0.685  0.815  0.750
Ga  0.815  0.685  0.250
Ga  0.829  0.171  0.477
Ag  0.000  0.000  0.500
Ag  0.016  0.484  0.750
Ag  0.484  0.016  0.250
Ag  0.500  0.500  0.000
Ag  0.516  0.984  0.750
Ag  0.984  0.516  0.250

Values from the calculation:
E: -3.621 eV per atom
Space-group type: Cmce
Spin magnetization: 0.00 μB per cell
Formation energy from the elements: -0.33 eV/atom

***

(6)
The following is a GGA-PBE calculation of a relaxed structure of Ac2TbPm6, from Alexandria via LeMat-Bulk.

Lattice parameters (Å, degrees): 9.098 9.098 5.986 109.07 109.07 46.05
Fractional coordinates of all 9 atoms:
Ac  0.141  0.141  0.142
Ac  0.859  0.859  0.858
Tb  0.500  0.500  0.000
Pm  0.166  0.618  0.391
Pm  0.289  0.289  0.789
Pm  0.382  0.834  0.609
Pm  0.618  0.166  0.391
Pm  0.711  0.711  0.211
Pm  0.834  0.382  0.609

Values from the calculation:
Distance to the lowest polymorph of the same formula: 46 meV/atom
E: -4.459 eV per atom
Space-group type: C2/m
Spin magnetization: 0.00 μB per cell
Formation energy from the elements: 0.14 eV/atom